[1]
AlCuW | the Alexandria database | GGA-PBE | optimized geometry; V = 17.8 Å³ per atom; energy = -5.95 eV per atom; ΔE_f = 0.99 eV per atom; total magnetic moment = 0.000 μB per cell; symmetry = F-43m
1.0
4.229 0.000 0.000
2.115 3.663 0.000
2.115 1.221 3.453
W Al Cu
1 1 1
Cartesian
6.344 3.663 2.590 W
0.000 0.000 0.000 Al
4.229 2.442 1.727 Cu

***

[2]
KTc2Pb | the Alexandria database | GGA-PBE | optimized geometry; V = 21.1 Å³ per atom; energy = -5.16 eV per atom; ΔE_f = 1.22 eV per atom; total magnetic moment = 0.000 μB per cell; symmetry = R-3m
1.0
-10.354 -0.616 -1.268
-10.246 -1.019 1.780
-10.271 1.824 0.604
K Tc Pb
1 2 1
Cartesian
-7.718 0.048 0.279 K
-0.365 0.002 0.013 Tc
-15.071 0.093 0.545 Tc
-23.154 0.143 0.837 Pb

***

[3]
LaSI | the Alexandria database | GGA-PBE | optimized geometry; V = 30.1 Å³ per atom; energy = -5.16 eV per atom; total magnetic moment = 0.000 μB per cell; formation energy (no corrections) = -4.9 eV per formula unit; symmetry = I4mm
1.0
-1.089 -1.296 3.497
2.745 -2.745 -0.162
3.064 5.759 0.930
S I La
1 1 1
Cartesian
2.244 2.155 1.498 S
0.072 0.069 0.048 I
2.404 -0.506 2.720 La

***

[4]
Ba2NaSr9 | the Alexandria database | GGA-PBE | optimized geometry; V = 55.3 Å³ per atom; energy = -1.67 eV per atom; ΔE_f = 0.02 eV per atom; total magnetic moment = 0.000 μB per cell; symmetry = P4/mmm
1.0
6.017 0.000 0.000
0.000 6.017 0.000
0.000 0.000 18.326
Sr Na Ba
9 1 2
Cartesian
3.008 3.008 12.341 Sr
3.008 0.000 9.163 Sr
0.000 3.008 9.163 Sr
3.008 3.008 0.000 Sr
0.000 3.008 2.899 Sr
3.008 0.000 2.899 Sr
0.000 3.008 15.427 Sr
3.008 3.008 5.984 Sr
3.008 0.000 15.427 Sr
0.000 0.000 0.000 Na
0.000 0.000 12.279 Ba
0.000 0.000 6.047 Ba

***

[5]
TiCuPd2 | the Alexandria database | GGA-PBE | optimized geometry; V = 14.9 Å³ per atom; energy = -5.86 eV per atom; ΔE_f = -0.27 eV per atom; total magnetic moment = 0.000 μB per cell; symmetry = R3m
1.0
2.827 0.000 0.000
1.414 2.448 0.000
1.414 0.816 8.631
Pd Ti Cu
2 1 1
Cartesian
1.414 0.816 6.474 Pd
1.414 0.816 2.158 Pd
2.827 1.632 0.002 Ti
2.827 1.632 4.313 Cu

***

[6]
BaZnIrO5 | the Alexandria database | GGA-PBE | optimized geometry; V = 14.5 Å³ per atom; energy = -5.99 eV per atom; total magnetic moment = 3.743 μB per cell; formation energy (no corrections) = -11.1 eV per formula unit; symmetry = C2/c
1.0
-1.949 -1.360 -5.468
5.940 0.492 -0.125
-0.993 -6.382 3.678
O Ba Ir Zn
10 2 2 2
Cartesian
1.080 -3.792 0.823 O
4.251 -3.689 0.519 O
-2.233 -6.038 -2.397 O
5.231 -1.212 0.483 O
3.188 -5.594 2.749 O
1.919 -3.458 -2.738 O
2.409 -6.418 -0.230 O
0.589 -0.833 -1.685 O
-0.189 -1.657 -4.664 O
-1.253 -3.561 -2.434 O
-0.028 -5.521 -0.904 Ba
3.027 -1.730 -1.011 Ba
-0.497 -3.191 1.839 Ir
0.000 0.000 0.000 Ir
0.230 -2.386 -2.905 Zn
2.768 -4.865 0.990 Zn

***

Q: Which of these has the lowest V?
A: BaZnIrO5